Entry 1:
# YNi3Ag

A relaxed structure of YNi3Ag (GGA-PBEsol, Alexandria).

```
YNi3Ag
1.0
4.5361 0.0000 0.0000
0.0000 4.5361 0.0000
0.0000 0.0000 4.5361
Y Ni Ag
1 3 1
direct
0.0000 0.0000 0.0000
0.5000 0.0000 0.0000
0.0000 0.0000 0.5000
0.0000 0.5000 0.0000
0.5000 0.5000 0.5000
```

Computed properties:
ΔH_f (0 K) = 1.341 eV per atom
Symmetry = Pm-3m, No. 221
Total magnetization = 0.0 μB/f.u.



Entry 2:
# Cu2NiAg

A relaxed structure of Cu2NiAg (GGA-PBEsol, Alexandria).

```
Cu2NiAg
1.0
-1.6619 -1.8988 0.7942
3.6989 -2.0218 -1.4996
1.1329 0.7871 4.2521
Ag Cu Ni
1 2 1
direct
0.7510 0.5021 0.2499
0.9947 0.9893 0.9870
0.2484 0.4968 0.7458
0.5059 0.0118 0.5172
```

Computed properties:
ΔH_f (0 K) = 0.131 eV per atom
Symmetry = Cm, No. 8
Total magnetization = 0.0 μB/f.u.